# KCaSi2, relaxed, DFT GGA-PBE
data_KCaSi2
_chemical_formula_sum 'K1 Ca1 Si2'
_symmetry_space_group_name_H-M 'P 4/m m m'
_symmetry_Int_Tables_number 123
_symmetry_space_group_name_Hall '-P 4 2'
_cell_length_a 5.464
_cell_length_b 5.464
_cell_length_c 3.398
_cell_angle_alpha 90.00
_cell_angle_beta 90.00
_cell_angle_gamma 90.00
loop_
_atom_site_label
_atom_site_fract_x
_atom_site_fract_y
_atom_site_fract_z
_atom_site_occupancy
K1 0.000 0.000 0.000 1
Ca1 0.500 0.500 0.000 1
Si1 0.000 0.500 0.500 1
# Formation energy (no corrections) (eV per atom): 0.286
# DFT total energy (eV per formula unit): -12.80
# Total moment (μB/f.u.): 0.00
# Relative energy among the computed polymorphs (eV/f.u.): 1.82
# Density of states at the Fermi level (states/eV per cell): 1.760

=====

# EuY2Pt, relaxed, DFT GGA-PBE
data_EuY2Pt
_chemical_formula_sum 'Eu3 Y6 Pt3'
_symmetry_space_group_name_H-M 'R -3 m'
_symmetry_Int_Tables_number 166
_symmetry_space_group_name_Hall '-R 3 2"'
_cell_length_a 4.0941
_cell_length_b 4.0941
_cell_length_c 28.0889
_cell_angle_alpha 90.00
_cell_angle_beta 90.00
_cell_angle_gamma 120.00
loop_
_atom_site_label
_atom_site_fract_x
_atom_site_fract_y
_atom_site_fract_z
_atom_site_occupancy
Eu1 0.0000 0.0000 0.0000 1
Y1 0.0000 0.0000 0.2205 1
Pt1 0.0000 0.0000 0.5000 1
# Energy of formation (eV/atom): -0.541
# DFT total energy (eV per formula unit): -31.41
# Total moment (μB/f.u.): 7.94
# Relative energy among the computed polymorphs (eV/f.u.): 0.09
# Density of states at the Fermi level (states/eV per cell): 12.944

=====

# Fe7Rh6, relaxed, DFT GGA-PBE
data_Fe7Rh6
_chemical_formula_sum 'Fe21 Rh18'
_symmetry_space_group_name_H-M 'R -3 m'
_symmetry_Int_Tables_number 166
_symmetry_space_group_name_Hall '-R 3 2"'
_cell_length_a 4.7462
_cell_length_b 4.7462
_cell_length_c 25.8446
_cell_angle_alpha 90.00
_cell_angle_beta 90.00
_cell_angle_gamma 120.00
loop_
_atom_site_label
_atom_site_fract_x
_atom_site_fract_y
_atom_site_fract_z
_atom_site_occupancy
Fe1 0.0000 0.0000 0.0000 1
Fe2 0.0019 0.5010 0.4104 1
Rh1 0.0000 0.0000 0.1680 1
Rh2 0.0000 0.0000 0.3475 1
Rh3 0.0000 0.0000 0.4524 1
# Energy of formation (eV/atom): 0.041
# DFT total energy (eV per formula unit): -102.81
# Total moment (μB/f.u.): 19.56
# Density of states at the Fermi level (states/eV per cell): 64.634

=====

# LaSc2Cd2, relaxed, DFT GGA-PBE
data_LaSc2Cd2
_chemical_formula_sum 'La2 Sc4 Cd4'
_symmetry_space_group_name_H-M 'P 4/m b m'
_symmetry_Int_Tables_number 127
_symmetry_space_group_name_Hall '-P 4 2ab'
_cell_length_a 8.823
_cell_length_b 8.823
_cell_length_c 3.233
_cell_angle_alpha 90.00
_cell_angle_beta 90.00
_cell_angle_gamma 90.00
loop_
_atom_site_label
_atom_site_fract_x
_atom_site_fract_y
_atom_site_fract_z
_atom_site_occupancy
La1 0.000 0.000 0.000 1
Sc1 0.127 0.373 0.000 1
Cd1 0.171 0.671 0.500 1
# Energy of formation (eV/atom): -0.181
# DFT total energy (eV per formula unit): -20.33
# Total moment (μB/f.u.): 0.08
# Relative energy among the computed polymorphs (eV/f.u.): 0.00
# Density of states at the Fermi level (states/eV per cell): 14.965

=====

# NdHoCuRh, relaxed, DFT GGA-PBE
data_NdHoCuRh
_chemical_formula_sum 'Nd2 Ho2 Cu2 Rh2'
_symmetry_space_group_name_H-M 'A m m 2'
_symmetry_Int_Tables_number 38
_cell_length_a 4.417
_cell_length_b 3.841
_cell_length_c 10.530
_cell_angle_alpha 90.00
_cell_angle_beta 90.00
_cell_angle_gamma 90.00
loop_
_symmetry_equiv_pos_as_xyz
'x,y,z'
'-x,-y,z'
'-x,y,z'
'x,-y,z'
'x,y+1/2,z+1/2'
'-x,-y+1/2,z+1/2'
'-x,y+1/2,z+1/2'
'x,-y+1/2,z+1/2'
loop_
_atom_site_label
_atom_site_fract_x
_atom_site_fract_y
_atom_site_fract_z
_atom_site_occupancy
Nd1 0.000 0.000 0.000 1
Ho1 0.500 0.000 0.722 1
Cu1 0.500 0.000 0.430 1
Rh1 0.000 0.000 0.275 1
# Energy of formation (eV/atom): -0.522
# DFT total energy (eV per formula unit): -22.88
# Total moment (μB/f.u.): 0.00
# Relative energy among the computed polymorphs (eV/f.u.): 0.00
# Density of states at the Fermi level (states/eV per cell): 5.706

=====

# Fe3IBr, relaxed, DFT GGA-PBE
data_Fe3IBr
_chemical_formula_sum 'Fe3 I1 Br1'
_symmetry_space_group_name_H-M 'P m -3 m'
_symmetry_Int_Tables_number 221
_symmetry_space_group_name_Hall '-P 4 2 3'
_cell_length_a 4.847
_cell_length_b 4.847
_cell_length_c 4.847
_cell_angle_alpha 90.00
_cell_angle_beta 90.00
_cell_angle_gamma 90.00
loop_
_atom_site_label
_atom_site_fract_x
_atom_site_fract_y
_atom_site_fract_z
_atom_site_occupancy
Fe1 0.000 0.000 0.500 1
I1 0.000 0.000 0.000 1
Br1 0.500 0.500 0.500 1
# Formation energy (no corrections) (eV per atom): 1.326
# DFT total energy (eV per formula unit): -21.98
# Total moment (μB/f.u.): 8.00
# Relative energy among the computed polymorphs (eV/f.u.): 0.92
# Density of states at the Fermi level (states/eV per cell): 3.457